In2CoHRh | PBE | optimized geometry

Results
**Calculated volume**: 106.9 Å³/cell
**E above lowest polymorph**: 914 meV/atom
**Total energy**: -18.97 eV per cell

Lattice parameters (Å, degrees): 4.951 4.362 4.951 90.00 90.00 90.00
Sites, in units of the cell vectors:
In  0.000  0.000  0.500
In  0.500  0.000  0.000
H  0.500  0.500  0.500
Rh  0.000  0.500  0.000
Co  0.000  0.000  0.000

Li3MgPd | PBE | optimized geometry

Results
**Calculated volume**: 105.5 Å³/cell
**Formation enthalpy at 0 K**: 0.0 eV per formula unit
**E above lowest polymorph**: 287 meV/atom
**Total energy**: -12.48 eV per cell

Lattice parameters (Å, degrees): 4.725 4.725 4.725 90.00 90.00 90.00
Sites, in units of the cell vectors:
Pd  0.000  0.000  0.000
Mg  0.500  0.500  0.500
Li  0.500  0.000  0.000
Li  0.000  0.500  0.000
Li  0.000  0.000  0.500

La4Pr3Nd5 | PBE | optimized geometry

Results
**Calculated volume**: 433.5 Å³/cell
**Formation enthalpy at 0 K**: 0.2 eV per formula unit
**E above lowest polymorph**: 0 meV/atom
**Total energy**: -57.73 eV per cell

Lattice parameters (Å, degrees): 7.399 11.760 13.404 151.32 56.33 129.26
Sites, in units of the cell vectors:
La  0.833  0.666  0.833
La  0.917  0.835  0.667
La  0.083  0.165  0.333
La  0.167  0.334  0.167
Nd  0.500  0.000  0.500
Nd  0.751  0.499  0.999
Nd  0.332  0.666  0.834
Nd  0.668  0.334  0.166
Nd  0.249  0.501  0.001
Pr  0.583  0.166  0.333
Pr  0.417  0.834  0.667
Pr  0.000  0.000  0.500

Sn4TePd15 | PBE | optimized geometry

Results
**Calculated volume**: 332.5 Å³/cell
**Raw formation energy**: -10.16 kcal/mol of atoms
**Total energy**: -105.86 eV per cell

Lattice parameters (Å, degrees): 4.056 4.056 20.209 90.00 90.00 90.00
Sites, in units of the cell vectors:
Pd  0.500  0.000  0.699
Pd  0.000  0.500  0.897
Pd  0.500  0.500  0.000
Pd  0.500  0.500  0.400
Pd  0.000  0.500  0.301
Pd  0.000  0.500  0.500
Pd  0.500  0.500  0.799
Pd  0.000  0.500  0.699
Pd  0.500  0.500  0.201
Pd  0.000  0.500  0.103
Pd  0.500  0.000  0.103
Pd  0.500  0.000  0.301
Pd  0.500  0.500  0.600
Pd  0.500  0.000  0.500
Pd  0.500  0.000  0.897
Sn  0.000  0.000  0.599
Sn  0.000  0.000  0.401
Sn  0.000  0.000  0.202
Sn  0.000  0.000  0.798
Te  0.000  0.000  0.000

Pa5AgBi5 | PBE | optimized geometry

Results
**Calculated volume**: 321.3 Å³/cell
**Formation enthalpy at 0 K**: 2.1 eV per formula unit
**Total energy**: -67.67 eV per cell

Lattice parameters (Å, degrees): 5.920 7.504 8.468 109.81 90.00 113.23
Site moments in Bohr magnetons follow the coordinates.
Sites, in units of the cell vectors:
Pa  0.000  0.000  0.500  0.07
Pa  0.601  0.202  0.396  0.03
Pa  0.614  0.228  0.728  0.03
Pa  0.399  0.798  0.604  0.03
Pa  0.386  0.772  0.272  0.03
Bi  0.794  0.589  0.136  0.00
Bi  0.831  0.662  0.678  0.00
Bi  0.206  0.411  0.864  0.00
Bi  0.169  0.338  0.322  0.00
Bi  0.500  0.000  0.000  0.00
Ag  0.000  0.000  0.000  0.00

CaTa2H8 | PBE | optimized geometry

Results
**Calculated volume**: 99.5 Å³/cell
**Total energy**: -54.83 eV per cell

Lattice parameters (Å, degrees): 4.842 4.904 4.904 121.34 90.17 90.17
Sites, in units of the cell vectors:
H  0.330  0.555  0.555
H  0.872  0.604  0.068
H  0.852  0.560  0.560
H  0.591  0.280  0.050
H  0.310  0.064  0.601
H  0.591  0.050  0.280
H  0.310  0.601  0.064
H  0.872  0.068  0.604
Ta  0.591  0.740  0.397
Ta  0.591  0.397  0.740
Ca  0.092  0.047  0.047

LiZrBeAl | PBE | optimized geometry

Results
**Calculated volume**: 57.9 Å³/cell
**Formation enthalpy at 0 K**: -0.3 eV per formula unit
**Total energy**: -18.28 eV per cell

Lattice parameters (Å, degrees): 4.342 4.342 4.342 60.00 60.00 60.00
Sites, in units of the cell vectors:
Al  0.500  0.500  0.500
Be  0.250  0.250  0.250
Zr  0.000  0.000  0.000
Li  0.750  0.750  0.750

BaCa2LaPt | PBE | optimized geometry

Results
**Calculated volume**: 195.6 Å³/cell
**Formation enthalpy at 0 K**: -2.4 eV per formula unit
**Total energy**: -19.27 eV per cell

Lattice parameters (Å, degrees): 5.882 5.882 5.653 90.00 90.00 90.00
Sites, in units of the cell vectors:
La  0.000  0.000  0.500
Ca  0.000  0.500  0.000
Ca  0.500  0.000  0.000
Ba  0.500  0.500  0.500
Pt  0.000  0.000  0.000

BeAlPCl2 | PBE | optimized geometry

Results
**Calculated volume**: 103.8 Å³/cell
**Raw formation energy**: 4.59 kcal/mol of atoms
**E above lowest polymorph**: 235 meV/atom
**Total energy**: -15.58 eV per cell

Lattice parameters (Å, degrees): 4.505 4.505 5.113 90.00 90.00 90.00
Sites, in units of the cell vectors:
Al  0.000  0.000  0.000
Cl  0.500  0.000  0.000
Cl  0.000  0.500  0.000
Be  0.500  0.500  0.500
P  0.000  0.000  0.500

HfZr2Cd | PBE | optimized geometry

Results
**Calculated volume**: 90.0 Å³/cell
**Formation enthalpy at 0 K**: -0.4 eV per formula unit
**Total energy**: -28.35 eV per cell

Lattice parameters (Å, degrees): 3.164 3.164 8.987 90.00 90.00 90.00
Sites, in units of the cell vectors:
Cd  0.500  0.500  0.000
Hf  0.500  0.500  0.500
Zr  0.000  0.000  0.253
Zr  0.000  0.000  0.747

YTlBr3 | PBE | optimized geometry

Results
**Calculated volume**: 178.7 Å³/cell
**Raw formation energy**: -27.82 kcal/mol of atoms
**Total energy**: -19.88 eV per cell

Lattice parameters (Å, degrees): 5.633 5.633 5.633 90.00 90.00 90.00
Sites, in units of the cell vectors:
Y  0.000  0.000  0.000
Br  0.000  0.000  0.500
Br  0.000  0.500  0.000
Br  0.500  0.000  0.000
Tl  0.500  0.500  0.500

Gd3Se2NO | PBE | optimized geometry

Results
**Calculated volume**: 303.4 Å³/cell
**Raw formation energy**: -52.22 kcal/mol of atoms
**Total energy**: -156.69 eV per cell

Lattice parameters (Å, degrees): 8.088 8.088 9.848 82.78 82.78 28.35
Site moments in Bohr magnetons follow the coordinates.
Sites, in units of the cell vectors:
Gd  0.391  0.391  0.945  -6.93
Gd  0.045  0.045  0.739  6.92
Gd  0.803  0.803  0.674  6.93
Gd  0.197  0.197  0.326  6.93
Gd  0.955  0.955  0.261  6.92
Gd  0.609  0.609  0.055  -6.93
N  0.097  0.097  0.189  0.00
N  0.903  0.903  0.811  0.00
Se  0.213  0.213  0.850  -0.01
Se  0.629  0.629  0.527  -0.02
Se  0.787  0.787  0.150  -0.01
Se  0.371  0.371  0.473  -0.02
O  0.465  0.465  0.139  0.00
O  0.535  0.535  0.861  0.00

Tb5Dy4Tl4 | PBE | optimized geometry

Results
**Calculated volume**: 384.3 Å³/cell
**Formation enthalpy at 0 K**: -3.3 eV per formula unit
**Total energy**: -54.32 eV per cell

Lattice parameters (Å, degrees): 5.091 9.053 9.053 85.47 73.67 73.67
Sites, in units of the cell vectors:
Tb  0.687  0.913  0.712
Tb  0.313  0.087  0.288
Tb  0.601  0.712  0.087
Tb  0.000  0.000  0.000
Tb  0.399  0.288  0.913
Tl  0.104  0.131  0.661
Tl  0.765  0.339  0.131
Tl  0.896  0.869  0.339
Tl  0.235  0.661  0.869
Dy  0.096  0.510  0.299
Dy  0.606  0.299  0.490
Dy  0.904  0.490  0.701
Dy  0.394  0.701  0.510

ZnReOs | PBE | optimized geometry

Results
**Calculated volume**: 43.2 Å³/cell
**Formation enthalpy at 0 K**: 0.5 eV per formula unit
**E above lowest polymorph**: 129 meV/atom
**Total energy**: -24.47 eV per cell

Lattice parameters (Å, degrees): 4.725 4.725 4.725 145.22 133.55 59.31
Sites, in units of the cell vectors:
Zn  0.666  0.666  0.000
Os  0.994  0.994  0.000
Re  0.340  0.340  0.000

CaSm3 | PBE | optimized geometry

Results
**Calculated volume**: 140.8 Å³/cell
**Formation enthalpy at 0 K**: 0.3 eV per formula unit
**Total energy**: -15.90 eV per cell

Lattice parameters (Å, degrees): 3.716 6.414 6.975 117.37 105.45 90.00
Sites, in units of the cell vectors:
Sm  0.243  0.579  0.486
Sm  0.500  0.497  0.000
Sm  0.757  0.093  0.514
Ca  0.000  0.997  0.000

CaPm3Dy2Bi6 | PBE | optimized geometry

Results
**Calculated volume**: 400.2 Å³/cell
**Formation enthalpy at 0 K**: -10.3 eV per formula unit
**Total energy**: -59.08 eV per cell

Lattice parameters (Å, degrees): 4.549 9.106 10.174 102.63 102.92 90.00
Sites, in units of the cell vectors:
Ca  0.500  0.000  0.000
Pm  0.835  0.165  0.670
Pm  0.500  0.500  0.000
Pm  0.165  0.835  0.330
Bi  0.332  0.420  0.663
Bi  0.332  0.910  0.664
Bi  0.998  0.747  0.995
Bi  0.002  0.253  0.005
Bi  0.668  0.580  0.337
Bi  0.668  0.090  0.336
Dy  0.167  0.333  0.333
Dy  0.833  0.667  0.667